[1]
{"formula": "TaNiSe", "functional": "GGA-PBE", "state": "optimized geometry", "final_energy_ev_per_cell": -20.9, "raw_formation_energy_ev_per_atom": 0.062, "crystal_system": "hexagonal", "n_ef_per_ev_atom": 0.892, "e_above_lowest_polymorph_mev_per_atom": 328.5, "cell": [[4.093, 0.000, 0.000], [-2.047, 3.545, 0.000], [0.000, 0.000, 3.109]], "species": ["Ta", "Ni", "Se"], "fractional_positions": [[0.000, 0.000, 0.000], [0.667, 0.333, 0.500], [0.333, 0.667, 0.500]]}

[2]
{"formula": "Ta3NiSe6", "functional": "GGA-PBE", "state": "optimized geometry", "final_energy_ev_per_cell": -133.4, "raw_formation_energy_ev_per_atom": -0.447, "crystal_system": "orthorhombic", "n_ef_per_ev_atom": 0.459, "cell": [[5.126, -6.331, 0.000], [5.126, 6.331, 0.000], [0.000, 0.000, 6.227]], "species": ["Ta", "Ta", "Ta", "Ta", "Ta", "Ta", "Ni", "Ni", "Se", "Se", "Se", "Se", "Se", "Se", "Se", "Se", "Se", "Se", "Se", "Se"], "fractional_positions": [[0.103, 0.897, 0.500], [0.239, 0.467, 0.588], [0.467, 0.239, 0.088], [0.533, 0.761, 0.588], [0.761, 0.533, 0.088], [0.897, 0.103, 0.000], [0.277, 0.723, 0.242], [0.723, 0.277, 0.742], [0.021, 0.592, 0.368], [0.141, 0.196, 0.295], [0.196, 0.141, 0.795], [0.265, 0.735, 0.819], [0.408, 0.979, 0.368], [0.461, 0.539, 0.267], [0.539, 0.461, 0.767], [0.592, 0.021, 0.868], [0.735, 0.265, 0.319], [0.804, 0.859, 0.295], [0.859, 0.804, 0.795], [0.979, 0.408, 0.868]]}

[3]
{"formula": "Ta2NiSe", "functional": "GGA-PBE", "state": "optimized geometry", "final_energy_ev_per_cell": -66.6, "raw_formation_energy_ev_per_atom": -0.085, "crystal_system": "monoclinic", "n_ef_per_ev_atom": 0.772, "cell": [[9.296, 0.000, 0.000], [0.000, 3.065, 0.000], [-1.188, 0.000, 4.480]], "species": ["Ta", "Ta", "Ta", "Ta", "Ni", "Ni", "Se", "Se"], "fractional_positions": [[0.000, 0.000, 0.000], [0.219, 0.000, 0.616], [0.500, 0.500, 0.000], [0.719, 0.500, 0.616], [0.483, 0.000, 0.492], [0.983, 0.500, 0.492], [0.239, 0.500, 0.130], [0.739, 0.000, 0.130]]}

[4]
{"formula": "TaNi2Se6", "functional": "GGA-PBE", "state": "optimized geometry", "final_energy_ev_per_cell": -46.9, "raw_formation_energy_ev_per_atom": -0.291, "crystal_system": "monoclinic", "n_ef_per_ev_atom": 0.560, "e_above_lowest_polymorph_mev_per_atom": 99.0, "cell": [[5.884, -1.808, 0.000], [5.884, 1.808, 0.000], [-2.482, 0.000, 8.703]], "species": ["Ta", "Ni", "Ni", "Se", "Se", "Se", "Se", "Se", "Se"], "fractional_positions": [[0.000, 0.000, 0.000], [0.209, 0.209, 0.651], [0.791, 0.791, 0.349], [0.038, 0.038, 0.736], [0.338, 0.338, 0.909], [0.358, 0.358, 0.528], [0.642, 0.642, 0.472], [0.662, 0.662, 0.091], [0.962, 0.962, 0.264]]}

[5]
{"formula": "Ta2NiSe", "functional": "GGA-PBE", "state": "optimized geometry", "final_energy_ev_per_cell": -65.8, "raw_formation_energy_ev_per_atom": 0.012, "crystal_system": "orthorhombic", "n_ef_per_ev_atom": 0.536, "cell": [[3.792, 0.000, 0.000], [0.000, 4.604, 0.000], [0.000, 0.000, 7.278]], "species": ["Ta", "Ta", "Ta", "Ta", "Ni", "Ni", "Se", "Se"], "fractional_positions": [[0.000, 0.000, 0.247], [0.000, 0.000, 0.753], [0.500, 0.500, 0.253], [0.500, 0.500, 0.747], [0.000, 0.500, 0.000], [0.500, 0.000, 0.500], [0.000, 0.500, 0.500], [0.500, 0.000, 0.000]]}

[6]
{"formula": "TaNi2Se", "functional": "GGA-PBE", "state": "optimized geometry", "final_energy_ev_per_cell": -27.5, "raw_formation_energy_ev_per_atom": -0.145, "crystal_system": "tetragonal", "n_ef_per_ev_atom": 0.856, "cell": [[3.358, 0.000, 0.000], [0.000, 3.358, 0.000], [0.000, 0.000, 5.154]], "species": ["Ta", "Ni", "Ni", "Se"], "fractional_positions": [[0.000, 0.000, 0.000], [0.500, 0.500, 0.234], [0.500, 0.500, 0.766], [0.000, 0.000, 0.500]]}

[7]
{"formula": "TaNiSe2", "functional": "GGA-PBE", "state": "optimized geometry", "final_energy_ev_per_cell": -92.2, "raw_formation_energy_ev_per_atom": 0.389, "crystal_system": "cubic", "n_ef_per_ev_atom": 0.819, "cell": [[6.444, 0.000, 0.000], [0.000, 6.444, 0.000], [0.000, 0.000, 6.444]], "species": ["Ta", "Ta", "Ta", "Ta", "Ni", "Ni", "Ni", "Ni", "Se", "Se", "Se", "Se", "Se", "Se", "Se", "Se"], "fractional_positions": [[0.000, 0.000, 0.000], [0.000, 0.500, 0.500], [0.500, 0.000, 0.500], [0.500, 0.500, 0.000], [0.250, 0.250, 0.750], [0.250, 0.750, 0.250], [0.750, 0.250, 0.250], [0.750, 0.750, 0.750], [0.000, 0.000, 0.500], [0.000, 0.500, 0.000], [0.250, 0.250, 0.250], [0.250, 0.750, 0.750], [0.500, 0.000, 0.000], [0.500, 0.500, 0.500], [0.750, 0.250, 0.750], [0.750, 0.750, 0.250]]}

[8]
{"formula": "Ta2NiSe5", "functional": "GGA-PBE", "state": "optimized geometry", "final_energy_ev_per_cell": -105.7, "raw_formation_energy_ev_per_atom": -0.745, "crystal_system": "orthorhombic", "n_ef_per_ev_atom": 0.229, "cell": [[1.750, -7.108, 0.000], [1.750, 7.108, 0.000], [0.000, 0.000, 15.764]], "species": ["Ta", "Ta", "Ta", "Ta", "Ni", "Ni", "Se", "Se", "Se", "Se", "Se", "Se", "Se", "Se", "Se", "Se"], "fractional_positions": [[0.223, 0.777, 0.610], [0.223, 0.777, 0.890], [0.777, 0.223, 0.110], [0.777, 0.223, 0.390], [0.296, 0.704, 0.250], [0.704, 0.296, 0.750], [0.155, 0.845, 0.049], [0.155, 0.845, 0.451], [0.318, 0.682, 0.750], [0.406, 0.594, 0.139], [0.406, 0.594, 0.361], [0.594, 0.406, 0.639], [0.594, 0.406, 0.861], [0.682, 0.318, 0.250], [0.845, 0.155, 0.549], [0.845, 0.155, 0.951]]}

[9]
{"formula": "TaNi2Se", "functional": "GGA-PBE", "state": "optimized geometry", "final_energy_ev_per_cell": -54.5, "raw_formation_energy_ev_per_atom": -0.093, "crystal_system": "monoclinic", "n_ef_per_ev_atom": 0.437, "cell": [[9.078, 0.000, 0.000], [0.000, 3.400, 0.000], [-0.926, 0.000, 3.755]], "species": ["Ta", "Ta", "Ni", "Ni", "Ni", "Ni", "Se", "Se"], "fractional_positions": [[0.000, 0.000, 0.000], [0.500, 0.500, 0.000], [0.199, 0.500, 0.432], [0.430, 0.000, 0.458], [0.699, 0.000, 0.432], [0.930, 0.500, 0.458], [0.266, 0.000, 0.893], [0.766, 0.500, 0.893]]}

[10]
{"formula": "TaNi2Se", "functional": "GGA-PBE", "state": "optimized geometry", "final_energy_ev_per_cell": -53.8, "raw_formation_energy_ev_per_atom": -0.003, "crystal_system": "orthorhombic", "n_ef_per_ev_atom": 0.807, "cell": [[3.077, 0.000, 0.000], [0.000, 4.259, 0.000], [0.000, 0.000, 8.584]], "species": ["Ta", "Ta", "Ni", "Ni", "Ni", "Ni", "Se", "Se"], "fractional_positions": [[0.000, 0.000, 0.000], [0.500, 0.500, 0.500], [0.000, 0.500, 0.233], [0.000, 0.500, 0.767], [0.500, 0.000, 0.267], [0.500, 0.000, 0.733], [0.000, 0.000, 0.500], [0.500, 0.500, 0.000]]}

[11]
{"formula": "TaNiSe", "functional": "GGA-PBE", "state": "optimized geometry", "final_energy_ev_per_cell": -82.3, "raw_formation_energy_ev_per_atom": 0.179, "crystal_system": "cubic", "n_ef_per_ev_atom": 0.672, "e_above_lowest_polymorph_mev_per_atom": 445.9, "cell": [[6.012, 0.000, 0.000], [0.000, 6.012, 0.000], [0.000, 0.000, 6.012]], "species": ["Ta", "Ta", "Ta", "Ta", "Ni", "Ni", "Ni", "Ni", "Se", "Se", "Se", "Se"], "fractional_positions": [[0.000, 0.000, 0.000], [0.000, 0.500, 0.500], [0.500, 0.000, 0.500], [0.500, 0.500, 0.000], [0.250, 0.250, 0.250], [0.250, 0.750, 0.750], [0.750, 0.250, 0.750], [0.750, 0.750, 0.250], [0.250, 0.250, 0.750], [0.250, 0.750, 0.250], [0.750, 0.250, 0.250], [0.750, 0.750, 0.750]]}

[12]
{"formula": "TaNiSe2", "functional": "GGA-PBE", "state": "optimized geometry", "final_energy_ev_per_cell": -24.6, "raw_formation_energy_ev_per_atom": -0.006, "crystal_system": "tetragonal", "n_ef_per_ev_atom": 0.667, "cell": [[4.427, 0.000, 0.000], [0.000, 4.427, 0.000], [0.000, 0.000, 3.238]], "species": ["Ta", "Ni", "Se", "Se"], "fractional_positions": [[0.000, 0.000, 0.000], [0.500, 0.500, 0.000], [0.000, 0.500, 0.500], [0.500, 0.000, 0.500]]}

| no. | volume (Å³ per atom) |
| --- | --- |
| 1 | 15.04 |
| 2 | 20.21 |
| 3 | 15.95 |
| 4 | 20.58 |
| 5 | 15.88 |
| 6 | 14.53 |
| 7 | 16.73 |
| 8 | 24.51 |
| 9 | 14.49 |
| 10 | 14.06 |
| 11 | 18.11 |
| 12 | 15.86 |